Computed, not measured: a relaxed structure of Sm4MgSn at the PBE level of DFT.

```
Sm4MgSn
1.0
5.4252 0.0000 0.0000
0.0000 6.6960 0.0000
-2.7126 0.0000 11.3316
Sm Mg Sn
8 2 2
direct
0.2939 0.5781 0.5879
0.4283 0.8228 0.8565
0.5717 0.3228 0.1435
0.8618 0.3218 0.7235
0.1382 0.8218 0.2765
0.7062 0.5659 0.4124
0.7061 0.0781 0.4121
0.2938 0.0659 0.5876
0.5692 0.8229 0.1383
0.4308 0.3229 0.8617
0.8416 0.8219 0.6833
0.1584 0.3219 0.3167
```

## Properties
**Space-group type**: No. 36
**Total moment**: 0.0 μB per cell
**Energy**: -49.4 eV/cell
**Energy of formation**: -0.036 eV per atom
**Theoretical density**: 6.01 g cm⁻³